This record from Alexandria describes crystalline CePmNiIr at its relaxed geometry. The functional is PBE.

extended XYZ file:
```
8
Lattice="4.500 0.000 0.000 0.000 3.815 0.000 0.000 0.000 10.167" Properties=species:S:1:pos:R:3 pbc="T T T"
Ce 0.000 0.000 0.000
Ce 0.000 1.907 5.083
Pm 2.250 0.000 2.821
Pm 2.250 1.907 7.904
Ni 2.250 0.000 5.644
Ni 2.250 1.907 0.560
Ir 0.000 0.000 7.269
Ir 0.000 1.907 2.185
```

* offset from the most stable computed form: 0.0000 eV per atom
* N(E_F): 10.184 states/eV/cell
* DFT formation energy: -544 meV per atom
* total magnetization: 0.0501 μB/atom
* calculated volume: 175 Å³ per cell
* crystal system: orthorhombic